Record 1
## DyHoTl2 (PBE)

Data for a geometry-optimized DyHoTl2 structure.

a = 5.361 Å, b = 5.361 Å, c = 5.361 Å
α = 59.99°, β = 59.99°, γ = 59.99°
Fractional coordinates of all 4 atoms:
Tl 0.500 0.500 0.500
Tl 0.000 0.000 0.000
Dy 0.250 0.250 0.250
Ho 0.750 0.750 0.750

Properties
Space-group type: Fm-3m, No. 225
Formation enthalpy at 0 K: -0.333 eV/atom
Calculated volume: 109 Å³/cell



Record 2
## Dy3Ho4Tl (PBE)

Data for a geometry-optimized Dy3Ho4Tl structure.

a = 6.154 Å, b = 6.999 Å, c = 11.153 Å
α = 90.00°, β = 90.00°, γ = 90.00°
Fractional coordinates of all 16 atoms:
Ho 0.139 0.870 0.500
Ho 0.491 0.875 0.261
Ho 0.491 0.875 0.739
Ho 0.639 0.130 0.000
Ho 0.666 0.126 0.500
Ho 0.991 0.125 0.239
Ho 0.166 0.874 0.000
Ho 0.991 0.125 0.761
Dy 0.472 0.384 0.259
Dy 0.472 0.384 0.741
Dy 0.633 0.631 0.000
Dy 0.133 0.369 0.500
Dy 0.972 0.616 0.241
Dy 0.972 0.616 0.759
Tl 0.151 0.375 0.000
Tl 0.651 0.625 0.500

Properties
Space-group type: Pmn2_1, No. 31
Formation enthalpy at 0 K: -0.071 eV/atom
Calculated volume: 480 Å³/cell



Record 3
## DyHo3Tl2 (PBE)

Data for a geometry-optimized DyHo3Tl2 structure.

a = 5.075 Å, b = 6.800 Å, c = 9.935 Å
α = 90.00°, β = 90.00°, γ = 90.00°
Fractional coordinates of all 12 atoms:
Ho 0.500 0.672 0.187
Ho 0.000 0.828 0.688
Ho 0.000 0.954 0.042
Ho 0.000 0.328 0.312
Ho 0.000 0.454 0.958
Ho 0.500 0.172 0.813
Tl 0.000 0.292 0.633
Tl 0.500 0.208 0.133
Tl 0.000 0.792 0.367
Tl 0.500 0.708 0.867
Dy 0.500 0.047 0.458
Dy 0.500 0.547 0.542

Properties
Space-group type: Pmc2_1, No. 26
Formation enthalpy at 0 K: -0.266 eV/atom
Offset from the most stable computed form: 0 meV per atom
Calculated volume: 343 Å³/cell